Version P
The following is a PBE-GGA calculation of crystalline LaBeFeBi at its relaxed geometry, from OQMD.

Structure (extended XYZ):
```
4
Lattice="0.000 3.422 3.422 3.422 0.000 3.422 3.422 3.422 0.000" Properties=species:S:1:pos:R:3 pbc="T T T"
La 0.000 0.000 0.000
Be 5.134 5.134 5.134
Fe 1.711 1.711 1.711
Bi 3.422 3.422 3.422
```

Properties
crystal system: cubic
mass density: 8.548 g cm⁻³
spin magnetization: 1.853 μB per cell
SG: F-43m, No. 216

Version Q
The following is a PBE-GGA calculation of crystalline LaBeFeBi at its relaxed geometry, from OQMD.

Structure (extended XYZ):
```
4
Lattice="0.000 3.541 3.541 3.541 0.000 3.541 3.541 3.541 0.000" Properties=species:S:1:pos:R:3 pbc="T T T"
La 0.000 0.000 0.000
Be 3.541 3.541 3.541
Fe 1.771 1.771 1.771
Bi 5.312 5.312 5.312
```

Properties
crystal system: cubic
mass density: 7.716 g cm⁻³
spin magnetization: 2.129 μB per cell
SG: F-43m, No. 216

Bottom line: version P, by a margin of 22.5 kJ/mol of atoms.

Version P
The following is a PBE-GGA calculation of crystalline LiBeFeBi at its relaxed geometry, from OQMD.

Structure (extended XYZ):
```
4
Lattice="0.000 3.036 3.036 3.036 0.000 3.036 3.036 3.036 0.000" Properties=species:S:1:pos:R:3 pbc="T T T"
Li 0.000 0.000 0.000
Be 3.036 3.036 3.036
Fe 4.554 4.554 4.554
Bi 1.518 1.518 1.518
```

Properties
crystal system: cubic
mass density: 8.330 g cm⁻³
spin magnetization: 2.213 μB per cell
SG: F-43m, No. 216

Version Q
The following is a PBE-GGA calculation of crystalline LiBeFeBi at its relaxed geometry, from OQMD.

Structure (extended XYZ):
```
4
Lattice="0.000 3.044 3.044 3.044 0.000 3.044 3.044 3.044 0.000" Properties=species:S:1:pos:R:3 pbc="T T T"
Li 0.000 0.000 0.000
Be 1.522 1.522 1.522
Fe 3.044 3.044 3.044
Bi 4.566 4.566 4.566
```

Properties
crystal system: cubic
mass density: 8.266 g cm⁻³
spin magnetization: 1.311 μB per cell
SG: F-43m, No. 216

Bottom line: version Q, by a margin of 11.6 kJ/mol of atoms.

Version P
The following is a PBE-GGA calculation of crystalline BeNbFeBi at its relaxed geometry, from OQMD.

Structure (extended XYZ):
```
4
Lattice="0.000 3.191 3.191 3.191 0.000 3.191 3.191 3.191 0.000" Properties=species:S:1:pos:R:3 pbc="T T T"
Be 0.000 0.000 0.000
Nb 1.596 1.596 1.596
Fe 4.787 4.787 4.787
Bi 3.191 3.191 3.191
```

Properties
crystal system: cubic
mass density: 9.370 g cm⁻³
spin magnetization: 2.438 μB per cell
SG: F-43m, No. 216

Version Q
The following is a PBE-GGA calculation of crystalline BeNbFeBi at its relaxed geometry, from OQMD.

Structure (extended XYZ):
```
4
Lattice="0.000 3.169 3.169 3.169 0.000 3.169 3.169 3.169 0.000" Properties=species:S:1:pos:R:3 pbc="T T T"
Be 0.000 0.000 0.000
Nb 4.753 4.753 4.753
Fe 3.169 3.169 3.169
Bi 1.584 1.584 1.584
```

Properties
crystal system: cubic
mass density: 9.569 g cm⁻³
spin magnetization: 0.787 μB per cell
SG: F-43m, No. 216

Bottom line: version Q, by a margin of 10.7 kJ/mol of atoms.

Version P
The following is a PBE-GGA calculation of crystalline BeFeBiW at its relaxed geometry, from OQMD.

Structure (extended XYZ):
```
4
Lattice="0.000 3.123 3.123 3.123 0.000 3.123 3.123 3.123 0.000" Properties=species:S:1:pos:R:3 pbc="T T T"
Be 0.000 0.000 0.000
Fe 3.123 3.123 3.123
Bi 1.562 1.562 1.562
W 4.685 4.685 4.685
```

Properties
crystal system: cubic
mass density: 12.474 g cm⁻³
spin magnetization: 2.685 μB per cell
SG: F-43m, No. 216

Version Q
The following is a PBE-GGA calculation of crystalline BeFeBiW at its relaxed geometry, from OQMD.

Structure (extended XYZ):
```
4
Lattice="0.000 3.146 3.146 3.146 0.000 3.146 3.146 3.146 0.000" Properties=species:S:1:pos:R:3 pbc="T T T"
Be 0.000 0.000 0.000
Fe 4.718 4.718 4.718
Bi 3.146 3.146 3.146
W 1.573 1.573 1.573
```

Properties
crystal system: cubic
mass density: 12.209 g cm⁻³
spin magnetization: 2.097 μB per cell
SG: F-43m, No. 216

Bottom line: version P, by a margin of 6.9 kJ/mol of atoms.

Version P
The following is a PBE-GGA calculation of crystalline YBeFeBi at its relaxed geometry, from OQMD.

Structure (extended XYZ):
```
4
Lattice="0.000 3.284 3.284 3.284 0.000 3.284 3.284 3.284 0.000" Properties=species:S:1:pos:R:3 pbc="T T T"
Y 0.000 0.000 0.000
Be 1.642 1.642 1.642
Fe 4.926 4.926 4.926
Bi 3.284 3.284 3.284
```

Properties
crystal system: cubic
mass density: 8.501 g cm⁻³
spin magnetization: 1.052 μB per cell
SG: F-43m, No. 216

Version Q
The following is a PBE-GGA calculation of crystalline YBeFeBi at its relaxed geometry, from OQMD.

Structure (extended XYZ):
```
4
Lattice="0.000 3.326 3.326 3.326 0.000 3.326 3.326 3.326 0.000" Properties=species:S:1:pos:R:3 pbc="T T T"
Y 0.000 0.000 0.000
Be 4.988 4.988 4.988
Fe 3.326 3.326 3.326
Bi 1.663 1.663 1.663
```

Properties
crystal system: cubic
mass density: 8.188 g cm⁻³
spin magnetization: 1.963 μB per cell
SG: F-43m, No. 216

Version R
The following is a PBE-GGA calculation of crystalline YBeFeBi at its relaxed geometry, from OQMD.

Structure (extended XYZ):
```
4
Lattice="0.000 3.431 3.431 3.431 0.000 3.431 3.431 3.431 0.000" Properties=species:S:1:pos:R:3 pbc="T T T"
Y 0.000 0.000 0.000
Be 3.431 3.431 3.431
Fe 5.146 5.146 5.146
Bi 1.715 1.715 1.715
```

Properties
crystal system: cubic
mass density: 7.457 g cm⁻³
spin magnetization: 2.002 μB per cell
SG: F-43m, No. 216

Bottom line: version P, by a margin of 7.0 kJ/mol of atoms.

Version P
The following is a PBE-GGA calculation of crystalline BeZnFeBi at its relaxed geometry, from OQMD.

Structure (extended XYZ):
```
4
Lattice="0.000 3.138 3.138 3.138 0.000 3.138 3.138 3.138 0.000" Properties=species:S:1:pos:R:3 pbc="T T T"
Be 0.000 0.000 0.000
Zn 1.569 1.569 1.569
Fe 3.138 3.138 3.138
Bi 4.707 4.707 4.707
```

Properties
crystal system: cubic
mass density: 9.114 g cm⁻³
spin magnetization: 1.008 μB per cell
SG: F-43m, No. 216

Version Q
The following is a PBE-GGA calculation of crystalline BeZnFeBi at its relaxed geometry, from OQMD.

Structure (extended XYZ):
```
4
Lattice="0.000 3.179 3.179 3.179 0.000 3.179 3.179 3.179 0.000" Properties=species:S:1:pos:R:3 pbc="T T T"
Be 0.000 0.000 0.000
Zn 3.179 3.179 3.179
Fe 1.589 1.589 1.589
Bi 4.768 4.768 4.768
```

Properties
crystal system: cubic
mass density: 8.770 g cm⁻³
spin magnetization: 2.262 μB per cell
SG: F-43m, No. 216

Bottom line: version P, by a margin of 3.0 kJ/mol of atoms.

Version P
The following is a PBE-GGA calculation of crystalline ZrBeFeBi at its relaxed geometry, from OQMD.

Structure (extended XYZ):
```
4
Lattice="0.000 3.211 3.211 3.211 0.000 3.211 3.211 3.211 0.000" Properties=species:S:1:pos:R:3 pbc="T T T"
Zr 0.000 0.000 0.000
Be 1.605 1.605 1.605
Fe 4.816 4.816 4.816
Bi 3.211 3.211 3.211
```

Properties
crystal system: cubic
mass density: 9.156 g cm⁻³
spin magnetization: 0.685 μB per cell
SG: F-43m, No. 216

Version Q
The following is a PBE-GGA calculation of crystalline ZrBeFeBi at its relaxed geometry, from OQMD.

Structure (extended XYZ):
```
4
Lattice="0.000 3.270 3.270 3.270 0.000 3.270 3.270 3.270 0.000" Properties=species:S:1:pos:R:3 pbc="T T T"
Zr 0.000 0.000 0.000
Be 4.906 4.906 4.906
Fe 3.270 3.270 3.270
Bi 1.635 1.635 1.635
```

Properties
crystal system: cubic
mass density: 8.665 g cm⁻³
spin magnetization: 1.445 μB per cell
SG: F-43m, No. 216

Bottom line: version P, by a margin of 19.3 kJ/mol of atoms.

Version P
The following is a PBE-GGA calculation of crystalline BeTcGeBi at its relaxed geometry, from OQMD.

Structure (extended XYZ):
```
4
Lattice="0.000 3.250 3.250 3.250 0.000 3.250 3.250 3.250 0.000" Properties=species:S:1:pos:R:3 pbc="T T T"
Be 0.000 0.000 0.000
Tc 3.250 3.250 3.250
Ge 4.875 4.875 4.875
Bi 1.625 1.625 1.625
```

Properties
crystal system: cubic
mass density: 9.402 g cm⁻³
spin magnetization: 0.002 μB per cell
SG: F-43m, No. 216

Version Q
The following is a PBE-GGA calculation of crystalline BeTcGeBi at its relaxed geometry, from OQMD.

Structure (extended XYZ):
```
4
Lattice="0.000 3.268 3.268 3.268 0.000 3.268 3.268 3.268 0.000" Properties=species:S:1:pos:R:3 pbc="T T T"
Be 0.000 0.000 0.000
Tc 1.634 1.634 1.634
Ge 3.268 3.268 3.268
Bi 4.902 4.902 4.902
```

Properties
crystal system: cubic
mass density: 9.242 g cm⁻³
spin magnetization: 0.316 μB per cell
SG: F-43m, No. 216

Bottom line: version P, by a margin of 9.5 kJ/mol of atoms.

Version P
The following is a PBE-GGA calculation of crystalline BeHgBiIr at its relaxed geometry, from OQMD.

Structure (extended XYZ):
```
4
Lattice="0.000 3.364 3.364 3.364 0.000 3.364 3.364 3.364 0.000" Properties=species:S:1:pos:R:3 pbc="T T T"
Be 0.000 0.000 0.000
Hg 3.364 3.364 3.364
Bi 1.682 1.682 1.682
Ir 5.047 5.047 5.047
```

Properties
crystal system: cubic
mass density: 13.316 g cm⁻³
spin magnetization: 0.004 μB per cell
SG: F-43m, No. 216

Version Q
The following is a PBE-GGA calculation of crystalline BeHgBiIr at its relaxed geometry, from OQMD.

Structure (extended XYZ):
```
4
Lattice="0.000 3.348 3.348 3.348 0.000 3.348 3.348 3.348 0.000" Properties=species:S:1:pos:R:3 pbc="T T T"
Be 0.000 0.000 0.000
Hg 1.674 1.674 1.674
Bi 5.022 5.022 5.022
Ir 3.348 3.348 3.348
```

Properties
crystal system: cubic
mass density: 13.517 g cm⁻³
spin magnetization: 0.003 μB per cell
SG: F-43m, No. 216

Bottom line: version Q, by a margin of 5.7 kJ/mol of atoms.

Version P
The following is a PBE-GGA calculation of crystalline LiBeBiPd at its relaxed geometry, from OQMD.

Structure (extended XYZ):
```
4
Lattice="0.000 3.169 3.169 3.169 0.000 3.169 3.169 3.169 0.000" Properties=species:S:1:pos:R:3 pbc="T T T"
Li 0.000 0.000 0.000
Be 3.169 3.169 3.169
Bi 4.753 4.753 4.753
Pd 1.584 1.584 1.584
```

Properties
crystal system: cubic
mass density: 8.646 g cm⁻³
SG: F-43m, No. 216

Version Q
The following is a PBE-GGA calculation of crystalline LiBeBiPd at its relaxed geometry, from OQMD.

Structure (extended XYZ):
```
4
Lattice="0.000 3.213 3.213 3.213 0.000 3.213 3.213 3.213 0.000" Properties=species:S:1:pos:R:3 pbc="T T T"
Li 0.000 0.000 0.000
Be 4.819 4.819 4.819
Bi 1.606 1.606 1.606
Pd 3.213 3.213 3.213
```

Properties
crystal system: cubic
mass density: 8.296 g cm⁻³
SG: F-43m, No. 216

Bottom line: version P, by a margin of 3.7 kJ/mol of atoms.

Version P
The following is a PBE-GGA calculation of crystalline LiBeBiPt at its relaxed geometry, from OQMD.

Structure (extended XYZ):
```
4
Lattice="0.000 3.160 3.160 3.160 0.000 3.160 3.160 3.160 0.000" Properties=species:S:1:pos:R:3 pbc="T T T"
Li 0.000 0.000 0.000
Be 3.160 3.160 3.160
Bi 1.580 1.580 1.580
Pt 4.739 4.739 4.739
```

Properties
crystal system: cubic
mass density: 11.057 g cm⁻³
spin magnetization: 0.001 μB per cell
SG: F-43m, No. 216

Version Q
The following is a PBE-GGA calculation of crystalline LiBeBiPt at its relaxed geometry, from OQMD.

Structure (extended XYZ):
```
4
Lattice="0.000 3.208 3.208 3.208 0.000 3.208 3.208 3.208 0.000" Properties=species:S:1:pos:R:3 pbc="T T T"
Li 0.000 0.000 0.000
Be 1.604 1.604 1.604
Bi 4.812 4.812 4.812
Pt 3.208 3.208 3.208
```

Properties
crystal system: cubic
mass density: 10.560 g cm⁻³
spin magnetization: 0.001 μB per cell
SG: F-43m, No. 216

Bottom line: version P, by a margin of 0.9 kJ/mol of atoms.

Version P
The following is a PBE-GGA calculation of crystalline LiBeZnBi at its relaxed geometry, from OQMD.

Structure (extended XYZ):
```
4
Lattice="0.000 3.357 3.357 3.357 0.000 3.357 3.357 3.357 0.000" Properties=species:S:1:pos:R:3 pbc="T T T"
Li 0.000 0.000 0.000
Be 1.678 1.678 1.678
Zn 5.035 5.035 5.035
Bi 3.357 3.357 3.357
```

Properties
crystal system: cubic
mass density: 6.373 g cm⁻³
SG: F-43m, No. 216

Version Q
The following is a PBE-GGA calculation of crystalline LiBeZnBi at its relaxed geometry, from OQMD.

Structure (extended XYZ):
```
4
Lattice="0.000 3.276 3.276 3.276 0.000 3.276 3.276 3.276 0.000" Properties=species:S:1:pos:R:3 pbc="T T T"
Li 0.000 0.000 0.000
Be 3.276 3.276 3.276
Zn 1.638 1.638 1.638
Bi 4.914 4.914 4.914
```

Properties
crystal system: cubic
mass density: 6.856 g cm⁻³
SG: F-43m, No. 216

Bottom line: version Q, by a margin of 11.1 kJ/mol of atoms.